# 1
BaInP2, optimized geometry, DFT PBE-GGA; energy relative to the elements = 0.17 eV/atom; space-group type = F-43m, No. 216; DOS at the Fermi energy = 0.91 states/eV/atom; total DFT energy (no corrections) = -3.704 eV/atom
1.0
-4.5540 2.6432 0.1260
-4.5476 -2.6110 0.4936
-2.7414 0.3105 4.4866
P Ba In
2 1 1
direct
0.2500 0.2500 0.2500 P
0.0000 0.0000 0.0000 P
0.5000 0.5000 0.5000 Ba
0.7500 0.7500 0.7500 In

---

# 2
Sr2Y2O, optimized geometry, DFT PBE-GGA; space-group type = P4/mbm, No. 127; DOS at the Fermi energy = 1.32 states/eV/atom; uncorrected formation energy = -0.51 eV per atom; total DFT energy (no corrections) = -4.759 eV/atom; offset from the most stable computed form = 0.00 eV per formula unit
1.0
6.8442 0.0000 0.0000
0.0000 6.8442 0.0000
0.0000 0.0000 7.1787
Sr O Y
4 2 4
direct
0.2068 0.2932 0.0000 Sr
0.7068 0.2068 0.0000 Sr
0.2932 0.7932 0.0000 Sr
0.7932 0.7068 0.0000 Sr
0.0000 0.0000 0.0000 O
0.5000 0.5000 0.0000 O
0.1636 0.6636 0.5000 Y
0.8364 0.3364 0.5000 Y
0.3364 0.1636 0.5000 Y
0.6636 0.8364 0.5000 Y

---

| no. | V (Å³/cell) | theoretical density (kg/m³) |
| --- | --- | --- |
| 1 | 103.3 | 5048 |
| 2 | 336.3 | 3645 |